1.
This record from Alexandria via LeMat-Bulk describes an optimized crystal structure of Ac2SmTh. The functional is PBE.

Its formation enthalpy at 0 K is 110 meV per atom. As for the uncorrected energy: -4.979 eV/atom.

Cell lengths 3.7787, 3.7787, 10.7442 Å; angles 90.00, 90.00, 90.00 degrees
Space group P4/mmm (No. 123)
Asymmetric unit:
Ac 0.0000 0.0000 0.2438 (multiplicity 2)
Sm 0.5000 0.5000 0.5000 (multiplicity 1)
Th 0.5000 0.5000 0.0000 (multiplicity 1)


2.
This record from Alexandria via LeMat-Bulk describes an optimized crystal structure of AcSm6Th2. The functional is PBE.

Its formation enthalpy at 0 K is 98 meV per atom. As for the uncorrected energy: -5.153 eV/atom.

Cell lengths 3.6488, 3.6488, 27.2521 Å; angles 90.00, 90.00, 120.00 degrees
Space group P-6m2 (No. 187)
Asymmetric unit:
Ac 0.0000 0.0000 0.0000 (multiplicity 1)
Sm 0.0000 0.0000 0.2242 (multiplicity 2)
Sm 0.0000 0.0000 0.4375 (multiplicity 2)
Sm 0.3333 0.6667 0.1165 (multiplicity 2)
Th 0.3333 0.6667 0.3329 (multiplicity 2)